Compound: NaLi2BP2O8
Source: Alexandria
Functional: PBE-GGA
Structure: optimized geometry Values from VASP.

SG   P-1, No. 2
Electronic total energy   -6.79 eV/atom
Crystal system   triclinic

Cell and atoms, written as Quantum ESPRESSO input:
```
&SYSTEM
  ibrav = 0, nat = 28, ntyp = 5
/
ATOMIC_SPECIES
Na 22.99 Na.upf
Li 6.94 Li.upf
B 10.81 B.upf
P 30.97 P.upf
O 16.00 O.upf
CELL_PARAMETERS angstrom
5.495 0.000 0.000
0.367 7.496 0.000
2.708 1.790 7.458
ATOMIC_POSITIONS crystal
Na 0.248 0.383 0.264
Na 0.752 0.617 0.736
Li 0.143 0.027 0.598
Li 0.311 0.004 0.141
Li 0.689 0.996 0.859
Li 0.857 0.973 0.402
B 0.253 0.457 0.765
B 0.747 0.543 0.235
P 0.146 0.747 0.946
P 0.384 0.728 0.451
P 0.616 0.272 0.549
P 0.854 0.253 0.054
O 0.015 0.168 0.173
O 0.029 0.328 0.852
O 0.203 0.570 0.604
O 0.205 0.878 0.402
O 0.286 0.570 0.886
O 0.350 0.874 0.948
O 0.407 0.212 0.489
O 0.500 0.361 0.717
O 0.500 0.639 0.283
O 0.593 0.788 0.511
O 0.650 0.126 0.052
O 0.714 0.430 0.114
O 0.795 0.122 0.598
O 0.797 0.430 0.396
O 0.971 0.672 0.148
O 0.985 0.832 0.827
```